Entry 1:
The following is a PBE calculation of Rb3V2InCl9 after structural relaxation, from Alexandria via LeMat-Bulk.

a b c (Å): 7.214 7.214 9.781
angles (deg): 90.00 90.00 120.00
Element x y z (fractional)
Rb: 0.000 0.000 0.000
Rb: 0.333 0.667 0.710
Rb: 0.667 0.333 0.290
V: 0.333 0.667 0.149
V: 0.667 0.333 0.851
In: 0.000 0.000 0.500
Cl: 0.000 0.500 0.000
Cl: 0.176 0.352 0.287
Cl: 0.176 0.824 0.287
Cl: 0.352 0.176 0.713
Cl: 0.500 0.000 0.000
Cl: 0.500 0.500 0.000
Cl: 0.648 0.824 0.287
Cl: 0.824 0.176 0.713
Cl: 0.824 0.648 0.713

Computed properties:
The raw total energy is -4.148 eV/atom. For the calculated density, the calculation gives 2.98 g/cm³.

Entry 2:
The following is a PBE calculation of RbVIn2Cl6 after structural relaxation, from Alexandria via LeMat-Bulk.

a b c (Å): 6.970 8.363 12.421
angles (deg): 90.00 121.67 90.00
Element x y z (fractional)
Rb: 0.000 0.000 0.000
Rb: 0.000 0.500 0.500
V: 0.500 0.000 0.500
V: 0.500 0.500 0.000
In: 0.202 0.055 0.722
In: 0.202 0.445 0.222
In: 0.798 0.555 0.778
In: 0.798 0.945 0.278
Cl: 0.188 0.150 0.481
Cl: 0.188 0.350 0.981
Cl: 0.256 0.728 0.910
Cl: 0.256 0.772 0.410
Cl: 0.402 0.087 0.293
Cl: 0.402 0.413 0.793
Cl: 0.598 0.587 0.207
Cl: 0.598 0.913 0.707
Cl: 0.744 0.228 0.590
Cl: 0.744 0.272 0.090
Cl: 0.812 0.650 0.019
Cl: 0.812 0.850 0.519

Computed properties:
The raw total energy is -3.883 eV/atom. For the calculated density, the calculation gives 3.12 g/cm³.

Entry 3:
The following is a PBE calculation of RbYIn2Cl6 after structural relaxation, from Alexandria via LeMat-Bulk.

a b c (Å): 7.869 7.880 8.089
angles (deg): 90.03 119.10 119.94
Element x y z (fractional)
Rb: 0.000 0.000 0.000
Y: 0.020 0.510 0.530
In: 0.415 0.208 0.623
In: 0.427 0.713 0.141
Cl: 0.143 0.747 0.323
Cl: 0.185 0.855 0.787
Cl: 0.458 0.602 0.787
Cl: 0.576 0.396 0.324
Cl: 0.928 0.180 0.324
Cl: 0.933 0.330 0.788

Computed properties:
The raw total energy is -4.054 eV/atom. For the calculated density, the calculation gives 2.85 g/cm³.

Entry 4:
The following is a PBE calculation of RbZn2InCl6 after structural relaxation, from Alexandria via LeMat-Bulk.

a b c (Å): 9.021 9.021 9.742
angles (deg): 96.73 96.73 113.00
Element x y z (fractional)
Rb: 0.076 0.924 0.750
Rb: 0.924 0.076 0.250
Zn: 0.185 0.482 0.671
Zn: 0.482 0.185 0.171
Zn: 0.518 0.815 0.829
Zn: 0.815 0.518 0.329
In: 0.401 0.599 0.250
In: 0.599 0.401 0.750
Cl: 0.045 0.477 0.318
Cl: 0.176 0.235 0.590
Cl: 0.235 0.176 0.090
Cl: 0.328 0.592 0.909
Cl: 0.408 0.672 0.591
Cl: 0.477 0.045 0.818
Cl: 0.523 0.955 0.182
Cl: 0.592 0.328 0.409
Cl: 0.672 0.408 0.091
Cl: 0.765 0.824 0.910
Cl: 0.824 0.765 0.410
Cl: 0.955 0.523 0.682

Computed properties:
The raw total energy is -2.978 eV/atom. For the calculated density, the calculation gives 2.53 g/cm³.

Entry 5:
The following is a PBE calculation of RbZn2InCl8 after structural relaxation, from Alexandria via LeMat-Bulk.

a b c (Å): 10.668 10.668 10.668
angles (deg): 34.75 34.75 34.75
Element x y z (fractional)
Rb: 0.000 0.000 0.000
Zn: 0.242 0.242 0.242
Zn: 0.758 0.758 0.758
In: 0.500 0.500 0.500
Cl: 0.130 0.780 0.439
Cl: 0.220 0.561 0.870
Cl: 0.316 0.316 0.316
Cl: 0.439 0.130 0.780
Cl: 0.561 0.870 0.220
Cl: 0.684 0.684 0.684
Cl: 0.780 0.439 0.130
Cl: 0.870 0.220 0.561

Computed properties:
The raw total energy is -3.000 eV/atom. For the calculated density, the calculation gives 2.90 g/cm³.

Entry 6:
The following is a PBE calculation of RbZnInCl4 after structural relaxation, from Alexandria via LeMat-Bulk.

a b c (Å): 7.130 7.186 9.314
angles (deg): 90.00 107.16 90.00
Element x y z (fractional)
Rb: 0.210 0.250 0.034
Rb: 0.790 0.750 0.966
Zn: 0.212 0.750 0.778
Zn: 0.788 0.250 0.222
In: 0.264 0.250 0.551
In: 0.736 0.750 0.449
Cl: 0.002 0.002 0.286
Cl: 0.002 0.498 0.286
Cl: 0.345 0.750 0.033
Cl: 0.432 0.750 0.646
Cl: 0.568 0.250 0.354
Cl: 0.655 0.250 0.967
Cl: 0.998 0.502 0.714
Cl: 0.998 0.998 0.714

Computed properties:
The raw total energy is -3.082 eV/atom. For the calculated density, the calculation gives 2.97 g/cm³.

Energy relative to the elements, uncorrected list, top to bottom, in eV/f.u.: -21.73, -12.19, -16.55, -12.45, -14.97, -9.21